This record from the Alexandria database describes crystalline TmLu2Hg at its relaxed geometry. The functional is PBE-GGA.

Values from the calculation:
As for the symmetry: P4/mmm, No. 123. As for the density of states at the Fermi level: 4.4 states/eV per cell. The value obtained for the calculated volume is 26.3 Å³ per atom. For the relative energy among the computed polymorphs, the calculation gives 72 meV per atom. The total magnetic moment is 0.00 μB per formula unit.

a b c (Å): 4.7249 4.7249 4.7134
angles (deg): 90.00 90.00 90.00
Atoms (fractional coordinates):
Tm  0.0000  0.0000  0.0000
Lu  0.0000  0.5000  0.5000
Lu  0.5000  0.0000  0.5000
Hg  0.5000  0.5000  0.0000